1.
This record from Alexandria describes crystalline Mg2Cd2Au at its relaxed geometry. The functional is PBE.

Computed properties:
Excess energy over the best structure of this formula in the dataset (kJ/mol of formula units): 7
Calculated formation energy (eV/f.u.): -1.113
E_tot (eV per atom): -1.8819

CIF file:
```
data_Mg2Cd2Au
_symmetry_space_group_name_H-M 'I 41/a m d'
_symmetry_Int_Tables_number 141
_cell_length_a 4.5472
_cell_length_b 4.5472
_cell_length_c 21.8424
_cell_angle_alpha 90.00
_cell_angle_beta 90.00
_cell_angle_gamma 90.00
loop_
_symmetry_equiv_pos_as_xyz
'x,y,z'
'-x,-y,-z'
'-y+1/4,x+3/4,z+1/4'
'y+1/4,-x+3/4,-z+1/4'
'-x+1/2,-y,z+1/2'
'x+1/2,y,-z+1/2'
'y+1/4,-x+1/4,z+3/4'
'-y+1/4,x+1/4,-z+3/4'
'x,-y,-z'
'-x,y,z'
'-y+1/4,-x+1/4,-z+3/4'
'y+1/4,x+1/4,z+3/4'
'-x+1/2,y,-z+1/2'
'x+1/2,-y,z+1/2'
'y+1/4,x+3/4,-z+1/4'
'-y+1/4,-x+3/4,z+1/4'
'x+1/2,y+1/2,z+1/2'
'-x+1/2,-y+1/2,-z+1/2'
'-y+3/4,x+1/4,z+3/4'
'y+3/4,-x+1/4,-z+3/4'
'-x,-y+1/2,z'
'x,y+1/2,-z'
'y+3/4,-x+3/4,z+1/4'
'-y+3/4,x+3/4,-z+1/4'
'x+1/2,-y+1/2,-z+1/2'
'-x+1/2,y+1/2,z+1/2'
'-y+3/4,-x+3/4,-z+1/4'
'y+3/4,x+3/4,z+1/4'
'-x,y+1/2,-z'
'x,-y+1/2,z'
'y+3/4,x+1/4,-z+3/4'
'-y+3/4,-x+1/4,z+3/4'
loop_
_atom_site_label
_atom_site_type_symbol
_atom_site_fract_x
_atom_site_fract_y
_atom_site_fract_z
Mg1 Mg 0.0000 0.2500 0.0558
Cd1 Cd 0.0000 0.2500 0.2043
Au1 Au 0.0000 0.2500 0.3750
```

2.
This record from Alexandria describes crystalline Mg3CdAu2 at its relaxed geometry. The functional is PBE.

Computed properties:
Excess energy over the best structure of this formula in the dataset (kJ/mol of formula units): 0
Calculated formation energy (eV/f.u.): -2.761
E_tot (eV per atom): -2.5025

CIF file:
```
data_Mg3CdAu2
_symmetry_space_group_name_H-M 'P 4/m m m'
_symmetry_Int_Tables_number 123
_symmetry_space_group_name_Hall '-P 4 2'
_cell_length_a 3.3197
_cell_length_b 3.3197
_cell_length_c 10.4339
_cell_angle_alpha 90.00
_cell_angle_beta 90.00
_cell_angle_gamma 90.00
loop_
_atom_site_label
_atom_site_type_symbol
_atom_site_fract_x
_atom_site_fract_y
_atom_site_fract_z
Mg1 Mg 0.0000 0.0000 0.0000
Mg2 Mg 0.0000 0.0000 0.3103
Cd1 Cd 0.5000 0.5000 0.5000
Au1 Au 0.5000 0.5000 0.1586
```

3.
This record from Alexandria describes crystalline MgCd4Au7 at its relaxed geometry. The functional is PBE.

Computed properties:
Excess energy over the best structure of this formula in the dataset (kJ/mol of formula units): 0
Calculated formation energy (eV/f.u.): -2.733
E_tot (eV per atom): -2.5775

CIF file:
```
data_MgCd4Au7
_symmetry_space_group_name_H-M 'P -1'
_symmetry_Int_Tables_number 2
_symmetry_space_group_name_Hall '-P 1'
_cell_length_a 4.3342
_cell_length_b 4.9984
_cell_length_c 11.8442
_cell_angle_alpha 78.02
_cell_angle_beta 88.84
_cell_angle_gamma 64.95
loop_
_atom_site_label
_atom_site_type_symbol
_atom_site_fract_x
_atom_site_fract_y
_atom_site_fract_z
Mg1 Mg 0.0000 0.0000 0.0000
Cd1 Cd 0.3232 0.3573 0.8325
Cd2 Cd 0.3361 0.3264 0.5835
Au1 Au 0.0000 0.0000 0.5000
Au2 Au 0.0067 0.9850 0.2435
Au3 Au 0.3324 0.3281 0.3320
Au4 Au 0.3426 0.3153 0.0772
```

4.
This record from Alexandria describes crystalline MgCd2Au at its relaxed geometry. The functional is PBE.

Computed properties:
Calculated formation energy (eV/f.u.): -0.862
E_tot (eV per atom): -1.8910

CIF file:
```
data_MgCd2Au
_symmetry_space_group_name_H-M 'I 4/m m m'
_symmetry_Int_Tables_number 139
_symmetry_space_group_name_Hall '-I 4 2'
_cell_length_a 4.2983
_cell_length_b 4.2983
_cell_length_c 8.5824
_cell_angle_alpha 90.00
_cell_angle_beta 90.00
_cell_angle_gamma 90.00
loop_
_atom_site_label
_atom_site_type_symbol
_atom_site_fract_x
_atom_site_fract_y
_atom_site_fract_z
Mg1 Mg 0.0000 0.0000 0.0000
Cd1 Cd 0.0000 0.5000 0.2500
Au1 Au 0.0000 0.0000 0.5000
```